[1]
First-principles (PBE) data for a geometry-optimized LiLaNiP2 structure, as listed in the Alexandria database.

```
LiLaNiP2
1.0
5.6579 0.0000 0.0000
0.0000 5.1928 0.0000
0.0000 0.0000 5.8434
Li La Ni P
2 2 2 4
Cartesian
3.4120 3.8946 0.0000
2.2459 1.2982 0.0000
1.3221 1.2982 2.9217
4.3358 3.8946 2.9217
0.0000 0.0000 0.0000
0.0000 2.5964 0.0000
4.3241 1.2982 4.5014
4.3241 1.2982 1.3421
1.3339 3.8946 4.5014
1.3339 3.8946 1.3421
```

spin magnetization: 0.00 μB/f.u.
uncorrected energy: -0.404 Ry per atom
density: 5.16 g cm⁻³

=====

[2]
First-principles (PBE) data for a geometry-optimized LiLaNiPb structure, as listed in the Alexandria database.

```
LiLaNiPb
1.0
4.8722 0.0000 0.0000
2.4361 4.2195 0.0000
2.4361 1.4065 3.9782
Pb Ni Li La
1 1 1 1
Cartesian
4.8722 2.8130 1.9891
2.4361 1.4065 0.9945
7.3084 4.2195 2.9836
0.0000 0.0000 0.0000
```

spin magnetization: 0.00 μB/f.u.
uncorrected energy: -0.329 Ry per atom
density: 8.36 g cm⁻³

=====

[3]
First-principles (PBE) data for a geometry-optimized LiLaNiPd structure, as listed in the Alexandria database.

```
LiLaNiPd
1.0
-1.6917 4.4987 -0.1022
-4.6225 0.8066 -1.0452
-3.0107 1.5144 3.4283
Ni Li Pd La
1 1 1 1
Cartesian
-2.3312 1.7049 0.5702
-4.6625 3.4098 1.1404
-6.9937 5.1147 1.7106
0.0000 0.0000 0.0000
```

spin magnetization: 0.00 μB/f.u.
uncorrected energy: -0.348 Ry per atom
density: 6.57 g cm⁻³

=====

[4]
First-principles (PBE) data for a geometry-optimized LiLaPmNi structure, as listed in the Alexandria database.

```
LiLaPmNi
1.0
-4.3195 -1.7799 -2.0875
-3.2613 -2.7523 2.8236
-4.5115 1.9909 1.3663
Ni La Li Pm
1 1 1 1
Cartesian
-3.0231 -0.6353 0.5256
-6.0462 -1.2707 1.0512
-9.0693 -1.9060 1.5768
0.0000 0.0000 0.0000
```

spin magnetization: 0.00 μB/f.u.
uncorrected energy: -0.322 Ry per atom
density: 6.13 g cm⁻³

=====

- Look up the density of the fourth one.
  6.13 g cm⁻³